Below is a relaxed CaPr2Sb2 crystal, with properties calculated at the PBE level.

Output
The uncorrected formation energy is -1015 meV per atom. As for the total magnetization: 0.000 μB per cell.

Unit cell a=8.492 b=8.492 c=4.370 alpha=90.00 beta=90.00 gamma=90.00
Fractional positions:
Ca 0.000 0.000 0.000
Ca 0.500 0.500 0.000
Pr 0.155 0.345 0.500
Pr 0.345 0.845 0.500
Pr 0.655 0.155 0.500
Pr 0.845 0.655 0.500
Sb 0.148 0.648 0.000
Sb 0.352 0.148 0.000
Sb 0.648 0.852 0.000
Sb 0.852 0.352 0.000